Crystalline CdGa2GeO6 at its relaxed geometry. Source: Alexandria via LeMat-Bulk, functional PBE.

Unit cell a=9.186 b=10.932 c=5.871 alpha=90.00 beta=115.19 gamma=90.00
Space group C2/c (No. 15)
Unique sites:
Cd: 0.000 0.105 0.250 (multiplicity 4)
Ga: 0.133 0.421 0.168 (multiplicity 8)
Ge: 0.000 0.191 0.750 (multiplicity 4)
O: 0.103 0.256 0.051 (multiplicity 8)
O: 0.120 0.439 0.477 (multiplicity 8)
O: 0.127 0.085 0.682 (multiplicity 8)

Computed properties:
M_tot = 0.00 μB per formula unit
Formation energy (no corrections) = -16.04 eV/f.u.
DFT total energy = -57.4 eV per formula unit